No. 1
Here is a relaxed K2CaMg crystal from Alexandria via LeMat-Bulk. Energies are from PBE.

Values from the calculation:
E_tot ... -1.128 eV per atom

Cell and atoms, written as extended XYZ:
```
16
Lattice="10.630 0.000 0.000 0.000 10.630 0.000 0.000 0.000 7.169" Properties=species:S:1:pos:R:3 pbc="T T T"
K 2.228 2.657 0.896
K 2.657 7.543 2.688
K 2.657 8.402 6.273
K 3.087 2.657 4.481
K 7.543 7.972 4.481
K 7.972 2.228 6.273
K 7.972 3.087 2.688
K 8.402 7.972 0.896
Ca 0.000 0.000 3.584
Ca 0.000 5.315 5.377
Ca 5.315 0.000 1.792
Ca 5.315 5.315 0.000
Mg 0.000 0.000 0.000
Mg 0.000 5.315 1.792
Mg 5.315 0.000 5.377
Mg 5.315 5.315 3.584
```



No. 2
Here is a relaxed Er2BiS4 crystal from Alexandria via LeMat-Bulk. Energies are from PBE.

Values from the calculation:
E_tot ... -5.702 eV per atom
ΔE_f (raw) ... -1.486 eV/atom

Cell and atoms, written as extended XYZ:
```
14
Lattice="4.139 2.389 6.601 -4.139 2.389 6.601 0.000 -4.779 6.601" Properties=species:S:1:pos:R:3 pbc="T T T"
Er 0.000 0.000 0.000
Er -4.139 0.000 9.901
Er -2.069 1.195 3.300
Er 2.069 1.195 3.300
Bi 0.000 0.000 8.253
Bi 0.000 0.000 11.549
S -2.343 -1.353 11.474
S 0.000 -2.706 8.328
S -2.343 1.353 8.328
S 0.000 0.000 4.669
S 0.000 0.000 15.133
S 2.343 -1.353 11.474
S 0.000 2.706 11.474
S 2.343 1.353 8.328
```



No. 3
Here is a relaxed BaSrBi3 crystal from Alexandria via LeMat-Bulk. Energies are from PBE.

Values from the calculation:
E_tot ... -3.777 eV per atom
Distance to the lowest polymorph of the same formula ... 0.000 eV/atom

Cell and atoms, written as extended XYZ:
```
20
Lattice="15.745 0.000 0.000 0.000 7.040 0.000 0.000 0.000 6.866" Properties=species:S:1:pos:R:3 pbc="T T T"
Ba 3.936 0.000 0.343
Ba 3.936 3.520 3.090
Ba 11.809 0.000 6.523
Ba 11.809 3.520 3.776
Sr 15.744 1.760 1.717
Sr 0.001 5.280 5.150
Sr 7.871 1.760 5.150
Sr 7.874 5.280 1.717
Bi 0.949 5.280 1.717
Bi 2.381 0.375 3.899
Bi 2.381 3.145 6.400
Bi 5.491 3.895 6.400
Bi 5.491 6.665 3.899
Bi 6.923 1.760 1.717
Bi 8.822 5.280 5.150
Bi 10.254 0.375 2.967
Bi 10.254 3.145 0.466
Bi 13.364 3.895 0.466
Bi 13.364 6.665 2.967
Bi 14.796 1.760 5.150
```



No. 4
Here is a relaxed UTlTeSe crystal from Alexandria via LeMat-Bulk. Energies are from PBE.

Values from the calculation:
E_tot ... -5.727 eV per atom
ΔE_f (raw) ... -0.657 eV/atom

Cell and atoms, written as extended XYZ:
```
12
Lattice="4.070 0.000 0.000 -2.035 3.525 0.000 0.000 0.000 26.098" Properties=species:S:1:pos:R:3 pbc="T T T"
U 0.000 0.000 0.000
U 0.000 2.350 17.399
U 2.035 1.175 8.699
Tl 0.000 0.000 4.517
Tl 0.000 2.350 21.916
Tl 2.035 1.175 13.216
Te 0.000 0.000 19.455
Te 0.000 2.350 10.755
Te 2.035 1.175 2.056
Se 0.000 0.000 15.701
Se 0.000 2.350 7.001
Se 2.035 1.175 24.400
```



No. 5
Here is a relaxed PrSm2Ir crystal from Alexandria via LeMat-Bulk. Energies are from PBE.

Values from the calculation:
E_tot ... -6.206 eV per atom
Distance to the lowest polymorph of the same formula ... 0.033 eV/atom

Cell and atoms, written as extended XYZ:
```
16
Lattice="3.942 0.000 0.000 0.000 12.321 0.000 0.000 0.000 9.612" Properties=species:S:1:pos:R:3 pbc="T T T"
Pr 0.000 0.946 2.403
Pr 0.000 11.375 7.209
Pr 1.971 5.214 7.209
Pr 1.971 7.107 2.403
Sm 0.000 4.414 0.651
Sm 0.000 4.414 4.155
Sm 0.000 7.906 5.457
Sm 0.000 7.906 8.961
Sm 1.971 1.746 5.457
Sm 1.971 1.746 8.961
Sm 1.971 10.575 0.651
Sm 1.971 10.575 4.155
Ir 0.000 2.963 7.209
Ir 0.000 9.358 2.403
Ir 1.971 3.198 2.403
Ir 1.971 9.123 7.209
```



No. 6
Here is a relaxed NiMo4P crystal from Alexandria via LeMat-Bulk. Energies are from PBE.

Values from the calculation:
E_tot ... -8.361 eV per atom

Cell and atoms, written as extended XYZ:
```
6
Lattice="0.000 3.641 3.641 3.641 0.000 3.641 3.641 3.641 0.000" Properties=species:S:1:pos:R:3 pbc="T T T"
Ni 0.000 0.000 0.000
Mo 4.556 2.725 2.725
Mo 2.725 4.556 2.725
Mo 2.725 2.725 4.556
Mo 4.556 4.556 4.556
P 1.820 1.820 1.820
```